# 1
DFT (PBE-GGA) results for La2HoTe3 after structural relaxation.

Results
**Crystal system**: trigonal
**VASP energy**: -5.459 eV/atom

a b c (Å): 4.4695 4.4695 11.1613
angles (deg): 90.00 90.00 120.00
Closest atoms and distances in Å follow each position.
Element x y z (fractional)
1 La 0.3333 0.6667 0.1731  6 Te 3.22-3.25
2 La 0.6667 0.3333 0.8269  6 Te 3.22-3.25
3 Ho 0.0000 0.0000 0.5000  6 Te 3.08
4 Te 0.0000 0.0000 0.0000  6 La 3.22
5 Te 0.3333 0.6667 0.6504  3 Ho 3.08, 3 La 3.25
6 Te 0.6667 0.3333 0.3496  3 Ho 3.08, 3 La 3.25

# 2
DFT (PBE-GGA) results for LaHoTe after structural relaxation.

Results
**Crystal system**: cubic
**VASP energy**: -4.793 eV/atom
**E above lowest polymorph**: 0 meV/atom

a b c (Å): 7.3608 7.3608 7.3608
angles (deg): 90.00 90.00 90.00
Closest atoms and distances in Å follow each position.
Element x y z (fractional)
1 La 0.0000 0.0000 0.0000  4 Te 3.19
2 La 0.0000 0.5000 0.5000  4 Te 3.19
3 La 0.5000 0.0000 0.5000  4 Te 3.19
4 La 0.5000 0.5000 0.0000  4 Te 3.19
5 Ho 0.0000 0.0000 0.5000  4 Te 3.19
6 Ho 0.0000 0.5000 0.0000  4 Te 3.19
7 Ho 0.5000 0.0000 0.0000  4 Te 3.19
8 Ho 0.5000 0.5000 0.5000  4 Te 3.19
9 Te 0.2500 0.2500 0.7500  4 La 3.19, 4 Ho 3.19
10 Te 0.2500 0.7500 0.2500  4 La 3.19, 4 Ho 3.19
11 Te 0.7500 0.2500 0.2500  4 La 3.19, 4 Ho 3.19
12 Te 0.7500 0.7500 0.7500  4 La 3.19, 4 Ho 3.19

# 3
DFT (PBE-GGA) results for LaHoTlTe3 after structural relaxation.

Results
**Crystal system**: orthorhombic
**VASP energy**: -4.567 eV/atom

a b c (Å): 8.0112 8.0112 12.5198
angles (deg): 90.00 90.00 146.28
Closest atoms and distances in Å follow each position.
Element x y z (fractional)
1 La 0.0000 0.0000 0.0000  6 Te 3.27-3.32
2 La 0.0000 0.0000 0.5000  6 Te 3.27-3.32
3 Ho 0.4505 0.5495 0.7500  4 Te 2.92-2.98
4 Ho 0.5495 0.4505 0.2500  4 Te 2.92-2.98
5 Tl 0.2476 0.7524 0.2500  6 Te 3.62-3.78, 2 Ho 3.82
6 Tl 0.7524 0.2476 0.7500  6 Te 3.62-3.78, 2 Ho 3.82
7 Te 0.0717 0.9283 0.7500  2 Ho 2.98, 2 La 3.32
8 Te 0.3554 0.6446 0.5479  1 Ho 2.92, 2 La 3.27
9 Te 0.3554 0.6446 0.9521  1 Ho 2.92, 2 La 3.27
10 Te 0.6446 0.3554 0.0479  1 Ho 2.92, 2 La 3.27
11 Te 0.6446 0.3554 0.4521  1 Ho 2.92, 2 La 3.27
12 Te 0.9283 0.0717 0.2500  2 Ho 2.98, 2 La 3.32

Number 1: magnetic moment 0.0 μB/cell. Number 2: magnetic moment 3.6 μB/cell. Number 3: magnetic moment 0.0 μB/cell.